[1]
Entry from the Alexandria database: ZrScMo after structural relaxation (PBE-GGA).

Computed properties:
As for the crystal system: orthorhombic.

a b c (Å): 7.5039 7.2645 3.0639
angles (deg): 82.45 73.68 23.88
With the nearest neighbours (Å) after each atom.
Atoms (fractional coordinates):
Zr  0.0000  0.0000  0.0000  2 Mo 2.70
Sc  0.3017  0.3017  0.6983  2 Mo 2.76, 4 Sc 3.06
Mo  0.6478  0.6478  0.3522  2 Zr 2.70, 2 Sc 2.76

[2]
Entry from the Alexandria database: Zr2ScMo after structural relaxation (PBE-GGA).

Computed properties:
As for the crystal system: trigonal.

a b c (Å): 9.5458 9.5458 9.5458
angles (deg): 19.79 19.79 19.79
With the nearest neighbours (Å) after each atom.
Atoms (fractional coordinates):
Zr  0.2384  0.2384  0.2384  3 Mo 2.77
Zr  0.7615  0.7615  0.7615  3 Mo 2.77
Sc  0.0000  0.0000  0.0000  6 Zr 3.27, 6 Sc 3.28
Mo  0.5000  0.5000  0.5000  6 Zr 2.77

[3]
Entry from the Alexandria database: ZrScMo2 after structural relaxation (PBE-GGA).

Computed properties:
As for the crystal system: tetragonal.

a b c (Å): 3.2219 3.2219 7.4560
angles (deg): 90.00 90.00 90.00
With the nearest neighbours (Å) after each atom.
Atoms (fractional coordinates):
Zr  0.0000  0.0000  0.0000  5 Mo 2.91-3.23, 4 Zr 3.22
Sc  0.5000  0.5000  0.6773  5 Mo 2.92-3.24, 4 Sc 3.22
Mo  0.0000  0.0000  0.4329  4 Mo 2.68, 4 Sc 2.92
Mo  0.5000  0.5000  0.2431  4 Mo 2.68, 4 Zr 2.91

[4]
Entry from the Alexandria database: Zr2ScMo after structural relaxation (PBE-GGA).

Computed properties:
As for the crystal system: monoclinic.

a b c (Å): 3.1229 4.5730 6.0162
angles (deg): 90.00 102.74 90.00
With the nearest neighbours (Å) after each atom.
Atoms (fractional coordinates):
Zr  0.1706  0.0000  0.2703  2 Mo 2.78, 1 Zr 3.06, 2 Sc 3.11
Zr  0.8294  0.0000  0.7297  2 Mo 2.78, 1 Zr 3.06, 2 Sc 3.11
Sc  0.5000  0.5000  0.0000  2 Mo 3.07, 8 Zr 3.11-3.28, 2 Sc 3.12
Mo  0.0000  0.5000  0.5000  4 Zr 2.78, 2 Sc 3.07

[5]
Entry from the Alexandria database: ZrScMo after structural relaxation (PBE-GGA).

Computed properties:
As for the crystal system: tetragonal.

a b c (Å): 7.6787 7.6787 7.6787
angles (deg): 158.53 158.53 30.54
With the nearest neighbours (Å) after each atom.
Atoms (fractional coordinates):
Zr  0.0000  0.0000  0.0000  4 Zr 2.86, 4 Mo 3.11
Sc  0.3111  0.3111  0.0000  4 Sc 2.86, 4 Mo 3.02
Mo  0.6595  0.6595  0.0000  4 Mo 2.86, 4 Sc 3.02, 4 Zr 3.11

[6]
Entry from the Alexandria database: ZrScMo2 after structural relaxation (PBE-GGA).

Computed properties:
As for the crystal system: orthorhombic.

a b c (Å): 3.3352 4.5779 4.8070
angles (deg): 90.00 90.00 90.00
With the nearest neighbours (Å) after each atom.
Atoms (fractional coordinates):
Zr  0.0000  0.0000  0.0000  4 Mo 2.83, 4 Sc 2.93
Sc  0.5000  0.0000  0.5000  4 Mo 2.83, 4 Zr 2.93
Mo  0.0000  0.5000  0.5000  4 Sc 2.83, 4 Mo 2.93
Mo  0.5000  0.5000  0.0000  4 Zr 2.83, 4 Mo 2.93

[7]
Entry from the Alexandria database: Zr2ScMo after structural relaxation (PBE-GGA).

Computed properties:
As for the crystal system: trigonal.

a b c (Å): 9.5984 9.5984 9.5984
angles (deg): 19.45 19.45 19.45
With the nearest neighbours (Å) after each atom.
Atoms (fractional coordinates):
Zr  0.0000  0.0000  0.0000  3 Mo 2.75
Zr  0.2422  0.2422  0.2422  9 Zr 3.18-3.24, 3 Sc 3.32
Sc  0.4786  0.4786  0.4786  3 Mo 2.81
Mo  0.7379  0.7379  0.7379  3 Zr 2.75, 3 Sc 2.81

[8]
Entry from the Alexandria database: ZrScMo after structural relaxation (PBE-GGA).

Computed properties:
As for the crystal system: orthorhombic.

a b c (Å): 5.0155 5.0155 5.0155
angles (deg): 145.86 121.22 69.76
With the nearest neighbours (Å) after each atom.
Atoms (fractional coordinates):
Zr  0.0000  0.0000  0.0000  1 Mo 2.70, 1 Sc 2.80, 2 Zr 2.94
Sc  0.6592  0.6592  0.0000  1 Mo 2.73, 1 Zr 2.80, 2 Sc 2.94
Mo  0.3276  0.3276  0.0000  1 Zr 2.70, 1 Sc 2.73, 2 Mo 2.94

Number 1: V 20.5 A^3/atom, polymorph energy (0 for the lowest one) 5.97 kJ per mole of atoms, Fermi-level density of states 4.6 states/eV/f.u.. Number 2: V 21.8 A^3/atom, polymorph energy (0 for the lowest one) 13.29 kJ per mole of atoms, Fermi-level density of states 6.0 states/eV/f.u.. Number 3: V 19.3 A^3/atom, polymorph energy (0 for the lowest one) 0.63 kJ per mole of atoms, Fermi-level density of states 4.1 states/eV/f.u.. Number 4: V 21.0 A^3/atom, polymorph energy (0 for the lowest one) 5.16 kJ per mole of atoms, Fermi-level density of states 5.4 states/eV/f.u.. Number 5: V 20.2 A^3/atom, polymorph energy (0 for the lowest one) 17.47 kJ per mole of atoms, Fermi-level density of states 4.0 states/eV/f.u.. Number 6: V 18.3 A^3/atom, polymorph energy (0 for the lowest one) 16.01 kJ per mole of atoms, Fermi-level density of states 4.9 states/eV/f.u.. Number 7: V 21.4 A^3/atom, polymorph energy (0 for the lowest one) 17.58 kJ per mole of atoms, Fermi-level density of states 6.8 states/eV/f.u.. Number 8: V 19.9 A^3/atom, polymorph energy (0 for the lowest one) 12.82 kJ per mole of atoms, Fermi-level density of states 4.7 states/eV/f.u..